[1]
Below is a geometry-optimized TlMo3C structure, with properties calculated at the PBE-GGA level.

Values from the calculation:
VASP energy = -8.45 eV per atom
formation energy = 366 meV per atom

a b c (Å): 4.2409 4.2409 4.2409
angles (deg): 90.00 90.00 90.00
Fractional coordinates of all 5 atoms:
C: 0.0000 0.0000 0.0000
Mo: 0.0000 0.5000 0.0000
Mo: 0.0000 0.0000 0.5000
Mo: 0.5000 0.0000 0.0000
Tl: 0.5000 0.5000 0.5000

---

[2]
Below is a geometry-optimized Y2TlMoC structure, with properties calculated at the PBE-GGA level.

Values from the calculation:
VASP energy = -4.88 eV per atom
formation energy = 2192 meV per atom
distance to the lowest polymorph of the same formula = 2.432 eV per atom

a b c (Å): 5.6366 5.1709 5.6366
angles (deg): 90.00 90.00 90.00
Fractional coordinates of all 5 atoms:
Tl: 0.0000 0.0000 0.0000
Y: 0.5000 0.0000 0.0000
Y: 0.0000 0.0000 0.5000
C: 0.5000 0.5000 0.5000
Mo: 0.0000 0.5000 0.0000

---

[3]
Below is a geometry-optimized Y2TlMoC structure, with properties calculated at the PBE-GGA level.

Values from the calculation:
VASP energy = -7.31 eV per atom
formation energy = -240 meV per atom
distance to the lowest polymorph of the same formula = 0.000 eV per atom

a b c (Å): 4.9827 4.9827 4.1658
angles (deg): 90.00 90.00 90.00
Fractional coordinates of all 5 atoms:
C: 0.0000 0.0000 0.0000
Mo: 0.0000 0.0000 0.5000
Y: 0.5000 0.0000 0.0000
Y: 0.0000 0.5000 0.0000
Tl: 0.5000 0.5000 0.5000

---

[4]
Below is a geometry-optimized Tm3MoC3 structure, with properties calculated at the PBE-GGA level.

Values from the calculation:
VASP energy = -7.78 eV per atom
formation energy = -368 meV per atom

a b c (Å): 5.0473 6.7865 6.7865
angles (deg): 99.34 90.00 90.00
Fractional coordinates of all 14 atoms:
Tm: 0.7500 0.8366 0.6025
Tm: 0.7500 0.8897 0.1103
Tm: 0.2500 0.1103 0.8897
Tm: 0.2500 0.6025 0.8367
Tm: 0.2500 0.1634 0.3975
Tm: 0.7500 0.3975 0.1633
C: 0.2500 0.8322 0.5915
C: 0.7500 0.1231 0.8769
C: 0.7500 0.1678 0.4085
C: 0.2500 0.4085 0.1678
C: 0.7500 0.5915 0.8322
C: 0.2500 0.8769 0.1231
Mo: 0.7500 0.3123 0.6877
Mo: 0.2500 0.6877 0.3123

---

[5]
Below is a geometry-optimized Tm2MoC2 structure, with properties calculated at the PBE-GGA level.

Values from the calculation:
VASP energy = -8.00 eV per atom
formation energy = -359 meV per atom

a b c (Å): 5.0266 6.5794 9.8635
angles (deg): 90.00 90.00 90.00
Fractional coordinates of all 20 atoms:
C: 0.2500 0.1718 0.9428
C: 0.7500 0.3282 0.4428
C: 0.2500 0.5665 0.2428
C: 0.7500 0.8282 0.0572
C: 0.7500 0.4335 0.7572
C: 0.7500 0.9335 0.7428
C: 0.2500 0.6718 0.5572
C: 0.2500 0.0665 0.2572
Mo: 0.2500 0.2951 0.1251
Mo: 0.7500 0.2049 0.6251
Mo: 0.7500 0.7049 0.8749
Mo: 0.2500 0.7951 0.3749
Tm: 0.2500 0.8287 0.0614
Tm: 0.2500 0.3287 0.4386
Tm: 0.2500 0.4526 0.7781
Tm: 0.7500 0.0474 0.2781
Tm: 0.7500 0.1713 0.9386
Tm: 0.7500 0.5474 0.2219
Tm: 0.7500 0.6713 0.5614
Tm: 0.2500 0.9526 0.7219

---

[6]
Below is a geometry-optimized TmU2MoC4 structure, with properties calculated at the PBE-GGA level.

Values from the calculation:
VASP energy = -9.35 eV per atom
formation energy = 2 meV per atom

a b c (Å): 3.5909 6.0598 11.2676
angles (deg): 90.00 90.00 107.23
Fractional coordinates of all 16 atoms:
U: 0.6259 0.2519 0.4583
U: 0.3741 0.7481 0.9583
U: 0.3741 0.7481 0.5417
U: 0.6259 0.2519 0.0417
C: 0.2535 0.5070 0.1191
C: 0.0000 0.0000 0.5000
C: 0.2535 0.5070 0.3809
C: 0.7465 0.4930 0.8809
C: 0.0000 0.0000 0.0000
C: 0.5318 0.0637 0.2500
C: 0.7465 0.4930 0.6191
C: 0.4682 0.9363 0.7500
Tm: 0.1377 0.2754 0.7500
Tm: 0.8623 0.7246 0.2500
Mo: 0.8751 0.7502 0.7500
Mo: 0.1249 0.2498 0.2500

---

[7]
Below is a geometry-optimized U2MoC structure, with properties calculated at the PBE-GGA level.

Values from the calculation:
VASP energy = -10.32 eV per atom
formation energy = 339 meV per atom
distance to the lowest polymorph of the same formula = 0.000 eV per atom

a b c (Å): 3.3122 3.3122 6.0654
angles (deg): 90.00 90.00 90.00
Fractional coordinates of all 4 atoms:
C: 0.5000 0.5000 0.0000
U: 0.0000 0.0000 0.2063
U: 0.0000 0.0000 0.7937
Mo: 0.5000 0.5000 0.5000

---

[8]
Below is a geometry-optimized U3MoC4 structure, with properties calculated at the PBE-GGA level.

Values from the calculation:
VASP energy = -10.37 eV per atom
formation energy = -174 meV per atom

a b c (Å): 5.8099 5.9091 6.7332
angles (deg): 90.00 90.00 109.67
Fractional coordinates of all 16 atoms:
C: 0.4879 0.2383 0.3561
C: 0.9963 0.2222 0.1151
C: 0.4963 0.2222 0.8849
C: 0.5121 0.7617 0.6439
C: 0.9879 0.2383 0.6439
C: 0.5037 0.7778 0.1151
C: 0.0121 0.7617 0.3561
C: 0.0037 0.7778 0.8849
U: 0.2500 0.5000 0.8848
U: 0.2500 0.5000 0.3686
U: 0.2500 0.0000 0.6271
U: 0.7500 0.5000 0.1152
U: 0.7500 0.0000 0.3729
U: 0.7500 0.5000 0.6314
Mo: 0.2500 0.0000 0.1253
Mo: 0.7500 0.0000 0.8747

---

[9]
Below is a geometry-optimized U4MoC4 structure, with properties calculated at the PBE-GGA level.

Values from the calculation:
VASP energy = -10.43 eV per atom
formation energy = -114 meV per atom

a b c (Å): 3.2496 5.7270 7.5029
angles (deg): 79.39 77.49 73.52
Fractional coordinates of all 9 atoms:
U: 0.6866 0.4201 0.2068
U: 0.3134 0.5799 0.7932
U: 0.0956 0.1961 0.6126
U: 0.9044 0.8039 0.3874
C: 0.6929 0.9003 0.7138
C: 0.9012 0.2741 0.9235
C: 0.3071 0.0997 0.2862
C: 0.0988 0.7259 0.0765
Mo: 0.5000 0.0000 0.0000

---

[10]
Below is a geometry-optimized U5MoC6 structure, with properties calculated at the PBE-GGA level.

Values from the calculation:
VASP energy = -10.39 eV per atom
formation energy = -172 meV per atom

a b c (Å): 5.9120 5.8940 5.9074
angles (deg): 60.07 80.56 70.82
Fractional coordinates of all 12 atoms:
C: 0.2324 0.9233 0.6875
C: 0.2324 0.6108 0.3125
C: 0.7676 0.3892 0.6875
C: 0.7676 0.0767 0.3125
C: 0.7630 0.7654 0.0000
C: 0.2370 0.2346 0.0000
U: 0.0000 0.3334 0.3332
U: 0.5000 0.8330 0.3341
U: 0.5000 0.5000 0.0000
U: 0.5000 0.1670 0.6659
U: 0.0000 0.6666 0.6668
Mo: 0.0000 0.0000 0.0000

---

[11]
Below is a geometry-optimized U2MoC structure, with properties calculated at the PBE-GGA level.

Values from the calculation:
VASP energy = -9.93 eV per atom
formation energy = 723 meV per atom
distance to the lowest polymorph of the same formula = 0.384 eV per atom

a b c (Å): 5.0262 5.0262 4.3105
angles (deg): 54.34 54.34 60.00
Fractional coordinates of all 4 atoms:
U: 0.7679 0.7679 0.6962
U: 0.2321 0.2321 0.3038
C: 0.0000 0.0000 0.0000
Mo: 0.5000 0.5000 0.5000

---

[12]
Below is a geometry-optimized UMo2C2 structure, with properties calculated at the PBE-GGA level.

Values from the calculation:
VASP energy = -10.19 eV per atom
formation energy = 87 meV per atom

a b c (Å): 5.6746 5.6746 5.7629
angles (deg): 113.53 113.53 100.81
Fractional coordinates of all 10 atoms:
Mo: 0.2272 0.9769 0.4545
Mo: 0.7728 0.0231 0.5455
Mo: 0.5231 0.2728 0.0455
Mo: 0.4769 0.7272 0.9545
C: 0.5808 0.9192 0.7500
C: 0.8306 0.6694 0.2500
C: 0.4192 0.0808 0.2500
C: 0.1694 0.3306 0.7500
U: 0.1250 0.3750 0.2500
U: 0.8750 0.6250 0.7500

---

[13]
Below is a geometry-optimized U2Mo2C3 structure, with properties calculated at the PBE-GGA level.

Values from the calculation:
VASP energy = -10.48 eV per atom
formation energy = -210 meV per atom
distance to the lowest polymorph of the same formula = 0.000 eV per atom

a b c (Å): 3.1598 5.5685 6.1680
angles (deg): 111.21 104.84 90.00
Fractional coordinates of all 7 atoms:
Mo: 0.8458 0.6651 0.6915
Mo: 0.1542 0.3349 0.3085
U: 0.3977 0.1930 0.7954
U: 0.6023 0.8070 0.2046
C: 0.0000 0.0000 0.0000
C: 0.2499 0.7585 0.4997
C: 0.7501 0.2415 0.5003

---

[14]
Below is a geometry-optimized UVMoC3 structure, with properties calculated at the PBE-GGA level.

Values from the calculation:
VASP energy = -10.12 eV per atom
formation energy = -307 meV per atom

a b c (Å): 3.0971 5.4999 8.1912
angles (deg): 103.34 90.00 90.00
Fractional coordinates of all 12 atoms:
Mo: 0.2500 0.7693 0.0589
Mo: 0.7500 0.2307 0.9411
C: 0.7500 0.0399 0.1576
C: 0.2500 0.7524 0.4885
C: 0.2500 0.4348 0.8385
C: 0.7500 0.5652 0.1615
C: 0.7500 0.2476 0.5115
C: 0.2500 0.9601 0.8424
U: 0.2500 0.3517 0.3017
U: 0.7500 0.6483 0.6983
V: 0.7500 0.8760 0.3687
V: 0.2500 0.1240 0.6313

---

[15]
Below is a geometry-optimized ZrU2MoC4 structure, with properties calculated at the PBE-GGA level.

Values from the calculation:
VASP energy = -10.19 eV per atom
formation energy = -329 meV per atom

a b c (Å): 3.3235 5.6995 5.8861
angles (deg): 108.92 90.00 90.00
Fractional coordinates of all 8 atoms:
U: 0.0000 0.5000 0.5000
U: 0.5000 0.0000 0.5000
C: 0.5000 0.2346 0.2315
C: 0.0000 0.2440 0.7627
C: 0.5000 0.7654 0.7685
C: 0.0000 0.7560 0.2373
Zr: 0.5000 0.5000 0.0000
Mo: 0.0000 0.0000 0.0000

---

[16]
Below is a geometry-optimized ZrUMoC3 structure, with properties calculated at the PBE-GGA level.

Values from the calculation:
VASP energy = -9.75 eV per atom
formation energy = -31 meV per atom

a b c (Å): 3.2314 7.0299 7.9084
angles (deg): 94.20 90.00 90.00
Fractional coordinates of all 12 atoms:
Zr: 0.7500 0.3700 0.8588
Zr: 0.2500 0.6300 0.1412
Mo: 0.2500 0.1324 0.5859
Mo: 0.7500 0.8676 0.4141
C: 0.2500 0.1262 0.8643
C: 0.2500 0.6102 0.8591
C: 0.2500 0.8308 0.5721
C: 0.7500 0.3898 0.1409
C: 0.7500 0.1692 0.4279
C: 0.7500 0.8738 0.1357
U: 0.7500 0.8536 0.8263
U: 0.2500 0.1464 0.1737

---

[17]
Below is a geometry-optimized V2MoC structure, with properties calculated at the PBE-GGA level.

Values from the calculation:
VASP energy = -9.51 eV per atom
formation energy = 66 meV per atom
distance to the lowest polymorph of the same formula = 0.314 eV per atom

a b c (Å): 6.8516 6.8516 5.3117
angles (deg): 49.84 49.84 90.00
Fractional coordinates of all 8 atoms:
C: 0.5000 0.5000 0.0000
C: 0.2500 0.7500 0.5000
V: 0.5125 0.1250 0.2500
V: 0.3750 0.4875 0.7500
V: 0.2375 0.6250 0.2500
V: 0.8750 0.7625 0.7500
Mo: 0.0000 0.0000 0.0000
Mo: 0.7500 0.2500 0.5000

---

[18]
Below is a geometry-optimized V3MoC structure, with properties calculated at the PBE-GGA level.

Values from the calculation:
VASP energy = -9.55 eV per atom
formation energy = -72 meV per atom
distance to the lowest polymorph of the same formula = 0.090 eV per atom

a b c (Å): 3.9965 3.9965 3.9965
angles (deg): 90.00 90.00 90.00
Fractional coordinates of all 5 atoms:
V: 0.0000 0.5000 0.0000
V: 0.0000 0.0000 0.5000
V: 0.5000 0.0000 0.0000
C: 0.0000 0.0000 0.0000
Mo: 0.5000 0.5000 0.5000

---

[19]
Below is a geometry-optimized V2MoC structure, with properties calculated at the PBE-GGA level.

Values from the calculation:
VASP energy = -9.82 eV per atom
formation energy = -248 meV per atom
distance to the lowest polymorph of the same formula = 0.000 eV per atom

a b c (Å): 2.8648 2.8648 7.0640
angles (deg): 78.30 78.30 60.00
Fractional coordinates of all 4 atoms:
V: 0.2771 0.2771 0.1686
V: 0.7229 0.7229 0.8314
Mo: 0.5000 0.5000 0.5000
C: 0.0000 0.0000 0.0000

---

[20]
Below is a geometry-optimized V3MoC2 structure, with properties calculated at the PBE-GGA level.

Values from the calculation:
VASP energy = -9.76 eV per atom
formation energy = -323 meV per atom

a b c (Å): 5.6863 5.6863 5.6863
angles (deg): 107.44 104.69 116.53
Fractional coordinates of all 12 atoms:
V: 0.0489 0.7500 0.7989
V: 0.5000 0.2984 0.2984
V: 0.9511 0.2500 0.2011
V: 0.0000 0.7984 0.2984
V: 0.5000 0.7016 0.7016
V: 0.0000 0.2016 0.7016
C: 0.2395 0.2500 0.4895
C: 0.7605 0.7500 0.5105
C: 0.0000 0.5000 0.0000
C: 0.5000 0.0000 0.0000
Mo: 0.5407 0.2500 0.7907
Mo: 0.4593 0.7500 0.2093